# 1
This record from the Alexandria database describes a geometry-optimized CeZnGe2Rh structure. The functional is PBE.

The structure belongs to space group I-4m2 (No. 119); the cell edges are 4.1344, 4.1344 and 10.7619 Å and the angles 90.00°, 90.00° and 90.00°. Symmetry generates all atoms from Ce at (0.0000, 0.0000, 0.0000), Zn at (0.0000, 0.5000, 0.7500), Ge at (0.0000, 0.0000, 0.3840) and Rh at (0.0000, 0.5000, 0.2500).

=====

# 2
This record from the Alexandria database describes a geometry-optimized Dy2Er4Sc structure. The functional is PBE.

Its polymorph energy (0 for the lowest one) is 0.039 eV per atom.

The structure belongs to space group Pbca (No. 61); the cell edges are 5.4640, 12.0822 and 13.0161 Å and the angles 90.00°, 90.00° and 90.00°. Symmetry generates all atoms from Dy at (0.0012, 0.0698, 0.1552), Er at (0.0034, 0.2458, 0.9251), Er at (0.0036, 0.1459, 0.6799) and Sc at (0.0000, 0.0000, 0.5000).

=====

| no. | energy of formation from the pure elements (eV/atom) |
| --- | --- |
| 1 | -0.635 |
| 2 | 0.184 |